No. 1
A plane-wave DFT calculation with PBE was carried out for a relaxed HOsPt2 crystal.

Values from the calculation:
* excess energy over the best structure of this formula in the dataset: 16 meV/atom
* total magnetization: 0.0 Bohr magnetons per cell
* calculated total energy: -6.201 eV per atom

abc: 6.066 6.066 5.090
angles: 53.43 53.43 90.00
Fractional coordinates of all 8 atoms:
1 H 0.500 0.500 0.000
2 H 0.250 0.750 0.500
3 Os 0.000 0.000 0.000
4 Os 0.750 0.250 0.500
5 Pt 0.524 0.125 0.250
6 Pt 0.226 0.625 0.250
7 Pt 0.375 0.476 0.750
8 Pt 0.875 0.774 0.750

***

No. 2
A plane-wave DFT calculation with PBE was carried out for a relaxed PuAlRu crystal.

Values from the calculation:
* total magnetization: 5.0 Bohr magnetons per cell
* calculated total energy: -9.300 eV per atom
* E_form: -0.18 eV/atom

abc: 3.380 4.431 4.431
angles: 120.00 90.00 90.00
Each line ends with the local moment (μB).
Fractional coordinates of all 3 atoms:
1 Ru 0.167 0.333 0.667  -0.34
2 Al 0.167 0.000 0.000  0.01
3 Pu 0.667 0.667 0.333  5.02

***

No. 3
A plane-wave DFT calculation with PBE was carried out for a relaxed KTc crystal.

Values from the calculation:
* excess energy over the best structure of this formula in the dataset: 759 meV/atom
* total magnetization: 18.7 Bohr magnetons per cell
* calculated total energy: -4.216 eV per atom
* E_form: 1.52 eV/atom

abc: 10.232 10.232 10.232
angles: 90.00 90.00 90.00
Each line ends with the local moment (μB).
Fractional coordinates of all 16 atoms:
1 K 0.213 0.213 0.213  0.02
2 K 0.213 0.787 0.787  0.02
3 K 0.787 0.213 0.787  0.02
4 K 0.787 0.787 0.213  0.02
5 K 0.713 0.713 0.713  0.02
6 K 0.713 0.287 0.287  0.02
7 K 0.287 0.713 0.287  0.02
8 K 0.287 0.287 0.713  0.02
9 Tc 0.415 0.415 0.415  1.57
10 Tc 0.415 0.585 0.585  1.57
11 Tc 0.585 0.415 0.585  1.57
12 Tc 0.585 0.585 0.415  1.57
13 Tc 0.915 0.915 0.915  1.57
14 Tc 0.915 0.085 0.085  1.57
15 Tc 0.085 0.915 0.085  1.57
16 Tc 0.085 0.085 0.915  1.57

***

No. 4
A plane-wave DFT calculation with PBE was carried out for a relaxed KHfSe3 crystal.

Values from the calculation:
* formation energy without anion corrections: -1134 meV/atom
* excess energy over the best structure of this formula in the dataset: 46 meV/atom
* total magnetization: 0.0 Bohr magnetons per cell
* calculated total energy: -5.435 eV per atom

abc: 5.066 8.323 8.797
angles: 102.69 89.98 107.73
Fractional coordinates of all 10 atoms:
1 K 0.373 0.746 0.651
2 K 0.627 0.254 0.349
3 Hf 0.159 0.318 0.876
4 Hf 0.841 0.682 0.124
5 Se 0.150 0.301 0.598
6 Se 0.671 0.342 0.981
7 Se 0.009 0.017 0.140
8 Se 0.850 0.699 0.402
9 Se 0.991 0.983 0.860
10 Se 0.329 0.658 0.019

***

No. 5
A plane-wave DFT calculation with PBE was carried out for a relaxed BaMg5Ga2 crystal.

Values from the calculation:
* total magnetization: 0.0 Bohr magnetons per cell
* calculated total energy: -2.222 eV per atom
* E_form: -0.23 eV/atom

abc: 4.539 7.182 7.182
angles: 70.00 71.58 71.58
Fractional coordinates of all 8 atoms:
1 Ba 0.000 0.000 0.000
2 Mg 0.000 0.500 0.500
3 Mg 0.656 0.527 0.162
4 Mg 0.344 0.473 0.838
5 Mg 0.344 0.838 0.473
6 Mg 0.656 0.162 0.527
7 Ga 0.748 0.752 0.752
8 Ga 0.252 0.248 0.248

***

No. 6
A plane-wave DFT calculation with PBE was carried out for a relaxed TbGdCdIr crystal.

Values from the calculation:
* total magnetization: 7.1 Bohr magnetons per cell
* calculated total energy: -7.644 eV per atom
* E_form: -0.52 eV/atom

abc: 5.073 5.073 5.073
angles: 60.00 60.00 60.00
Each line ends with the local moment (μB).
Fractional coordinates of all 4 atoms:
1 Gd 0.000 0.000 0.000  7.00
2 Ir 0.250 0.250 0.250  -0.05
3 Tb 0.500 0.500 0.500  0.01
4 Cd 0.750 0.750 0.750  0.00